PmPr14Th | GGA-PBE | optimized geometry

```
16
Lattice="7.321 0.982 0.000 -0.982 7.321 0.000 0.000 0.000 10.530" Properties=species:S:1:pos:R:3 pbc="T T T"
Pm 2.131 4.945 0.000
Pr 2.131 4.945 5.265
Pr 3.735 7.045 2.600
Pr 6.284 1.774 5.265
Pr 2.624 1.285 0.000
Pr 5.791 5.434 0.000
Pr 0.030 6.548 2.599
Pr 4.233 3.339 7.929
Pr 0.030 6.548 7.931
Pr 0.528 2.843 7.930
Pr 3.735 7.045 7.930
Pr 0.528 2.843 2.600
Pr 4.233 3.339 2.600
Pr 5.792 5.435 5.265
Pr 2.623 1.284 5.265
Th 6.284 1.774 0.000
```

Calculated values
**VASP energy**: -4.92 eV per atom
**ΔE_f**: 24 meV/atom